# KNiAg2 GGA-PBE relaxed
data_KNiAg2
_cell_length_a 4.319
_cell_length_b 4.319
_cell_length_c 8.755
_cell_angle_alpha 90.00
_cell_angle_beta 90.00
_cell_angle_gamma 90.00
_symmetry_space_group_name_H-M 'I -4 m 2'
_symmetry_Int_Tables_number 119
_symmetry_space_group_name_Hall 'I -4 -2'
loop_
_atom_site_label
_atom_site_type_symbol
_atom_site_fract_x
_atom_site_fract_y
_atom_site_fract_z
K1 K 0.000 0.000 0.000
Ni1 Ni 0.000 0.500 0.750
Ag1 Ag 0.000 0.000 0.500
Ag2 Ag 0.000 0.500 0.250
# E   -2.57 eV/atom
# D(E_F)   5.1 states/eV/cell
# Polymorph energy (0 for the lowest one)   260 meV per atom
# Formation enthalpy at 0 K   0.577 eV per atom